First-principles (meta-GGA SCAN) data for a crystal of CsGaCuF6 relaxed with PBEsol, as listed in the Alexandria database.

Cell: 7.1211 7.2745 7.2745 Å, 60.72 60.69 60.69°
With the nearest neighbours (Å) after each atom.
Sites, in units of the cell vectors:
1 F 0.6876 0.5755 0.6676  1 Ga 1.88, 1 Cu 2.05
2 F 0.9391 0.8109 0.3109  2 Ga 1.94
3 F 0.3124 0.8324 0.9245  1 Ga 1.88, 1 Cu 2.05
4 F 0.3200 0.4300 0.9300  2 Cu 1.92
5 F 0.3124 0.4245 0.3324  1 Ga 1.88, 1 Cu 2.05
6 F 0.9307 0.4245 0.3324  1 Ga 1.88, 1 Cu 2.05
7 F 0.0693 0.5755 0.6676  1 Ga 1.88, 1 Cu 2.05
8 F 0.0609 0.1891 0.6891  2 Ga 1.94
9 F 0.9307 0.8324 0.9245  1 Ga 1.88, 1 Cu 2.05
10 F 0.0693 0.1676 0.0755  1 Ga 1.88, 1 Cu 2.05
11 F 0.6800 0.5700 0.0700  2 Cu 1.92
12 F 0.6876 0.1676 0.0755  1 Ga 1.88, 1 Cu 2.05
13 Cs 0.6194 0.1306 0.6306  6 F 3.10-3.30
14 Cs 0.3806 0.8694 0.3694  6 F 3.10-3.30
15 Cu 0.5000 0.5000 0.0000  6 F 1.92-2.05
16 Cu 0.0000 0.5000 0.0000  6 F 1.92-2.05
17 Ga 0.0000 0.0000 0.0000  6 F 1.88-1.94
18 Ga 0.0000 0.5000 0.5000  6 F 1.88-1.94

Calculated values
As for the space group: No. 74. The uncorrected formation energy is -23.365 eV/f.u. The total energy is -12.662 eV per atom. The total magnetization comes out at 2.000 Bohr magnetons per cell. The calculation puts the volume at 271 Å³/cell.